Record 1
{
  "formula": "SrAgSe",
  "functional": "PBE",
  "state": "optimized geometry",
  "cell": [[4.185, 0.000, 0.000], [0.000, 2.124, 4.735], [0.000, -2.124, 4.735]],
  "species": ["Sr", "Ag", "Se"],
  "frac_coords": [[0.000, 0.000, 0.000], [0.500, 0.302, 0.302], [0.500, 0.602, 0.602]],
  "de_polymorph_mev_per_atom": 202.4,
  "spacegroup": "Amm2",
  "crystal_system": "orthorhombic"
}

Record 2
{
  "formula": "SrAg4Se",
  "functional": "PBE",
  "state": "optimized geometry",
  "cell": [[0.000, 4.040, 4.040], [4.040, 0.000, 4.040], [4.040, 4.040, 0.000]],
  "species": ["Sr", "Ag", "Ag", "Ag", "Ag", "Se"],
  "frac_coords": [[0.000, 0.000, 0.000], [0.126, 0.625, 0.625], [0.625, 0.126, 0.625], [0.625, 0.625, 0.126], [0.625, 0.625, 0.625], [0.250, 0.250, 0.250]],
  "spacegroup": "F-43m",
  "energy_ev_per_atom": -3.068,
  "crystal_system": "cubic"
}

Record 3
{
  "formula": "SrAgSe",
  "functional": "PBE",
  "state": "optimized geometry",
  "cell": [[5.657, -2.091, 0.000], [5.657, 2.091, 0.000], [-3.948, 0.000, 6.624]],
  "species": ["Sr", "Sr", "Ag", "Ag", "Se", "Se"],
  "frac_coords": [[0.050, 0.050, 0.311], [0.950, 0.950, 0.689], [0.361, 0.361, 0.935], [0.639, 0.639, 0.065], [0.321, 0.321, 0.301], [0.679, 0.679, 0.699]],
  "de_polymorph_mev_per_atom": 31.4,
  "spacegroup": "C2/m",
  "crystal_system": "monoclinic"
}

Record 4
{
  "formula": "Sr3AgSe",
  "functional": "PBE",
  "state": "optimized geometry",
  "cell": [[5.926, 0.000, 0.000], [0.000, 5.926, 0.000], [0.000, 0.000, 5.926]],
  "species": ["Sr", "Sr", "Sr", "Ag", "Se"],
  "frac_coords": [[0.000, 0.000, 0.500], [0.000, 0.500, 0.000], [0.500, 0.000, 0.000], [0.500, 0.500, 0.500], [0.000, 0.000, 0.000]],
  "de_polymorph_mev_per_atom": 0.0,
  "spacegroup": "Pm-3m",
  "crystal_system": "cubic"
}

Record 5
{
  "formula": "SrAgSe",
  "functional": "PBE",
  "state": "optimized geometry",
  "cell": [[4.687, 0.000, 0.000], [-2.343, 4.059, 0.000], [0.000, 0.000, 4.222]],
  "species": ["Sr", "Ag", "Se"],
  "frac_coords": [[0.000, 0.000, 0.000], [0.667, 0.333, 0.500], [0.333, 0.667, 0.500]],
  "de_polymorph_mev_per_atom": 231.3,
  "spacegroup": "P-6m2",
  "crystal_system": "hexagonal"
}

Record 6
{
  "formula": "SrAgSe2",
  "functional": "PBE",
  "state": "optimized geometry",
  "cell": [[3.877, 0.000, 0.000], [0.000, 4.201, 0.000], [0.000, 0.000, 6.833]],
  "species": ["Sr", "Ag", "Se", "Se"],
  "frac_coords": [[0.000, 0.000, 0.000], [0.000, 0.500, 0.500], [0.500, 0.500, 0.232], [0.500, 0.500, 0.768]],
  "spacegroup": "Pmmm",
  "energy_ev_per_atom": -3.803,
  "crystal_system": "orthorhombic"
}

Record 7
{
  "formula": "SrAgSe",
  "functional": "PBE",
  "state": "optimized geometry",
  "cell": [[5.805, -2.300, 0.000], [5.805, 2.300, 0.000], [-0.916, 0.000, 6.356]],
  "species": ["Sr", "Sr", "Ag", "Ag", "Se", "Se"],
  "frac_coords": [[0.136, 0.136, 0.240], [0.864, 0.864, 0.760], [0.422, 0.422, 0.137], [0.578, 0.578, 0.863], [0.170, 0.170, 0.725], [0.830, 0.830, 0.275]],
  "de_polymorph_mev_per_atom": 0.0,
  "spacegroup": "C2/m",
  "crystal_system": "monoclinic"
}

Record 8
{
  "formula": "SrAgSe",
  "functional": "PBE",
  "state": "optimized geometry",
  "cell": [[0.000, 3.590, 3.590], [3.590, 0.000, 3.590], [3.590, 3.590, 0.000]],
  "species": ["Sr", "Ag", "Se"],
  "frac_coords": [[0.000, 0.000, 0.000], [0.500, 0.500, 0.500], [0.250, 0.250, 0.250]],
  "de_polymorph_mev_per_atom": 310.0,
  "spacegroup": "F-43m",
  "crystal_system": "cubic"
}

Record 9
{
  "formula": "SrTbAgSe3",
  "functional": "PBE",
  "state": "optimized geometry",
  "cell": [[8.496, 0.000, 0.000], [0.000, 4.191, 0.000], [-2.300, 0.000, 9.075]],
  "species": ["Sr", "Sr", "Tb", "Tb", "Ag", "Ag", "Se", "Se", "Se", "Se", "Se", "Se"],
  "frac_coords": [[0.198, 0.250, 0.243], [0.802, 0.750, 0.757], [0.323, 0.750, 0.834], [0.677, 0.250, 0.166], [0.091, 0.250, 0.587], [0.909, 0.750, 0.413], [0.097, 0.250, 0.872], [0.259, 0.750, 0.516], [0.437, 0.750, 0.155], [0.563, 0.250, 0.845], [0.741, 0.250, 0.484], [0.903, 0.750, 0.128]],
  "spacegroup": "P2_1/m",
  "energy_ev_per_atom": -4.788,
  "crystal_system": "monoclinic"
}

Record 10
{
  "formula": "SrAg2TeSe4",
  "functional": "PBE",
  "state": "optimized geometry",
  "cell": [[5.808, -5.674, 0.000], [5.808, 5.674, 0.000], [-5.684, 0.000, 6.421]],
  "species": ["Sr", "Sr", "Ag", "Ag", "Ag", "Ag", "Te", "Te", "Se", "Se", "Se", "Se", "Se", "Se", "Se", "Se"],
  "frac_coords": [[0.000, 0.500, 0.000], [0.500, 0.000, 0.500], [0.000, 0.000, 0.000], [0.000, 0.000, 0.500], [0.000, 0.500, 0.500], [0.500, 0.000, 0.000], [0.500, 0.500, 0.000], [0.500, 0.500, 0.500], [0.222, 0.728, 0.483], [0.237, 0.277, 0.562], [0.272, 0.778, 0.017], [0.277, 0.237, 0.062], [0.723, 0.763, 0.938], [0.728, 0.222, 0.983], [0.763, 0.723, 0.438], [0.778, 0.272, 0.517]],
  "spacegroup": "C2/c",
  "energy_ev_per_atom": -3.521,
  "crystal_system": "monoclinic"
}

Record 11
{
  "formula": "SrThAgSe4",
  "functional": "PBE",
  "state": "optimized geometry",
  "cell": [[7.560, 0.000, 0.000], [0.000, 5.941, 0.000], [-3.713, 0.000, 8.530]],
  "species": ["Sr", "Sr", "Th", "Th", "Ag", "Ag", "Se", "Se", "Se", "Se", "Se", "Se", "Se", "Se"],
  "frac_coords": [[0.209, 0.250, 0.459], [0.791, 0.750, 0.541], [0.230, 0.250, 0.944], [0.770, 0.750, 0.056], [0.267, 0.750, 0.212], [0.733, 0.250, 0.788], [0.053, 0.750, 0.902], [0.070, 0.750, 0.380], [0.448, 0.512, 0.783], [0.448, 0.988, 0.783], [0.552, 0.012, 0.217], [0.552, 0.488, 0.217], [0.930, 0.250, 0.620], [0.947, 0.250, 0.098]],
  "spacegroup": "P2_1/m",
  "energy_ev_per_atom": -5.009,
  "crystal_system": "monoclinic"
}

Record 12
{
  "formula": "SrTi2AgSe",
  "functional": "PBE",
  "state": "optimized geometry",
  "cell": [[4.856, 0.000, 0.000], [0.000, 4.856, 0.000], [0.000, 0.000, 5.299]],
  "species": ["Sr", "Ti", "Ti", "Ag", "Se"],
  "frac_coords": [[0.000, 0.000, 0.000], [0.000, 0.500, 0.500], [0.500, 0.000, 0.500], [0.500, 0.500, 0.000], [0.500, 0.500, 0.500]],
  "spacegroup": "P4/mmm",
  "energy_ev_per_atom": -4.627,
  "crystal_system": "tetragonal"
}